PBE Hf3NbI, optimized geometry; uncorrected formation energy = 1.41 eV/atom; relative energy among the computed polymorphs = 405 meV/atom; final energy = -34.41 eV/cell
1.0
5.102 0.000 0.000
0.000 5.102 0.000
0.000 0.000 5.102
Hf Nb I
3 1 1
Cartesian
0.000 0.000 2.551
0.000 2.551 0.000
2.551 0.000 0.000
2.551 2.551 2.551
0.000 0.000 0.000

***

PBE HfNbI3, optimized geometry; uncorrected formation energy = 0.75 eV/atom; relative energy among the computed polymorphs = 0 meV/atom; final energy = -20.92 eV/cell
1.0
5.633 0.000 0.000
0.000 5.633 0.000
0.000 0.000 5.633
Hf Nb I
1 1 3
Cartesian
0.000 0.000 0.000
2.817 2.817 2.817
0.000 0.000 2.817
0.000 2.817 0.000
2.817 0.000 0.000

***

PBE HfNbI, optimized geometry; uncorrected formation energy = 0.20 eV/atom; final energy = -41.92 eV/cell
1.0
3.708 0.000 0.000
1.012 5.933 0.000
0.492 2.933 6.721
Hf Nb I
2 2 2
Cartesian
0.246 1.444 1.617
4.967 7.422 5.105
2.138 2.791 3.346
3.074 6.075 3.375
2.597 4.415 5.721
2.616 4.451 1.000

***

PBE Hf3NbI, optimized geometry; uncorrected formation energy = 1.01 eV/atom; relative energy among the computed polymorphs = 0 meV/atom; final energy = -36.44 eV/cell
1.0
5.169 0.000 0.000
0.000 5.169 0.000
0.000 0.000 5.169
Hf Nb I
3 1 1
Cartesian
0.000 0.000 2.585
0.000 2.585 0.000
2.585 0.000 0.000
0.000 0.000 0.000
2.585 2.585 2.585

***

PBE HfNb2I, optimized geometry; uncorrected formation energy = 0.69 eV/atom; relative energy among the computed polymorphs = 73 meV/atom; final energy = -57.77 eV/cell
1.0
-2.070 2.070 10.147
2.070 -2.070 10.147
2.070 2.070 -10.147
Hf Nb I
2 4 2
Cartesian
0.000 0.000 0.000
0.000 2.070 5.073
1.035 -1.009 7.610
1.061 1.035 2.537
1.035 3.079 -2.537
1.009 1.035 12.683
2.070 0.000 5.073
0.000 0.000 10.147

***

PBE HfNb2I, optimized geometry; uncorrected formation energy = 0.62 eV/atom; relative energy among the computed polymorphs = 0 meV/atom; final energy = -29.17 eV/cell
1.0
0.000 3.416 3.416
3.416 0.000 3.416
3.416 3.416 0.000
Hf Nb I
1 2 1
Cartesian
0.000 0.000 0.000
1.708 1.708 1.708
5.124 5.124 5.124
3.416 3.416 3.416

***

PBE HfNbI2O, optimized geometry; uncorrected formation energy = -0.09 eV/atom; relative energy among the computed polymorphs = 234 meV/atom; final energy = -28.53 eV/cell
1.0
5.728 0.000 0.000
0.000 5.728 0.000
0.000 0.000 3.860
Hf Nb I O
1 1 2 1
Cartesian
0.000 0.000 0.000
2.864 2.864 1.930
0.000 2.864 1.930
2.864 0.000 1.930
2.864 2.864 0.000

***

PBE HfNbI2O, optimized geometry; uncorrected formation energy = -0.32 eV/atom; relative energy among the computed polymorphs = 0 meV/atom; final energy = -29.69 eV/cell
1.0
5.788 0.000 0.000
0.000 5.788 0.000
0.000 0.000 3.920
Hf Nb I O
1 1 2 1
Cartesian
0.000 0.000 0.000
2.894 2.894 1.960
0.000 2.894 0.000
2.894 0.000 0.000
0.000 0.000 1.960

***

PBE Hf2NbPI, optimized geometry; uncorrected formation energy = 0.61 eV/atom; final energy = -33.91 eV/cell
1.0
5.243 0.000 0.000
0.000 5.243 0.000
0.000 0.000 4.685
Hf Nb P I
2 1 1 1
Cartesian
0.000 2.622 0.000
2.622 0.000 0.000
0.000 0.000 0.000
0.000 0.000 2.342
2.622 2.622 2.342

***

PBE Rb2HfNbI6, optimized geometry; uncorrected formation energy = -0.63 eV/atom; final energy = -37.52 eV/cell
1.0
0.000 5.827 5.827
5.827 0.000 5.827
5.827 5.827 0.000
Rb Hf Nb I
2 1 1 6
Cartesian
2.913 2.913 2.913
8.740 8.740 8.740
0.000 0.000 0.000
5.827 5.827 5.827
5.827 5.827 2.908
5.827 2.908 5.827
8.745 5.827 5.827
2.908 5.827 5.827
5.827 8.745 5.827
5.827 5.827 8.745

***

PBE HfNb2ReI, optimized geometry; uncorrected formation energy = 2.42 eV/atom; final energy = -31.97 eV/cell
1.0
4.900 0.000 0.000
0.000 4.900 0.000
0.000 0.000 5.175
Hf Nb Re I
1 2 1 1
Cartesian
0.000 0.000 0.000
0.000 2.450 0.000
2.450 0.000 0.000
2.450 2.450 2.588
0.000 0.000 2.588

***

PBE HfNb2SiI, optimized geometry; uncorrected formation energy = 1.73 eV/atom; final energy = -28.41 eV/cell
1.0
4.993 0.000 0.000
0.000 4.993 0.000
0.000 0.000 5.092
Hf Nb Si I
1 2 1 1
Cartesian
0.000 0.000 0.000
0.000 2.496 2.546
2.496 0.000 2.546
2.496 2.496 0.000
2.496 2.496 2.546

***

PBE HfNbTe2I, optimized geometry; uncorrected formation energy = 0.58 eV/atom; relative energy among the computed polymorphs = 0 meV/atom; final energy = -24.97 eV/cell
1.0
5.579 0.000 0.000
0.000 5.579 0.000
0.000 0.000 5.505
Hf Nb Te I
1 1 2 1
Cartesian
0.000 0.000 0.000
2.790 2.790 2.753
0.000 2.790 0.000
2.790 0.000 0.000
0.000 0.000 2.753

***

PBE NdHfI, optimized geometry; uncorrected formation energy = -0.27 eV/atom; final energy = -34.17 eV/cell
1.0
4.712 -1.863 0.000
4.712 1.863 0.000
-2.892 0.000 12.568
Nd Hf I
2 2 2
Cartesian
-0.623 0.000 3.770
7.155 0.000 8.798
1.973 0.000 5.979
4.559 0.000 6.589
0.482 0.000 10.678
6.050 0.000 1.890

***

PBE NdHfI2, optimized geometry; uncorrected formation energy = -0.24 eV/atom; final energy = -18.78 eV/cell
1.0
1.859 1.073 10.501
-1.859 1.073 10.501
0.000 -2.147 10.501
Nd Hf I
1 1 2
Cartesian
0.000 0.000 0.000
0.000 0.000 15.751
0.000 0.000 12.877
0.000 0.000 18.625

***

PBE HfNi3I, optimized geometry; uncorrected formation energy = 1.12 eV/atom; relative energy among the computed polymorphs = 109 meV/atom; final energy = -23.25 eV/cell
1.0
4.721 0.000 0.000
0.000 4.721 0.000
0.000 0.000 4.721
Hf Ni I
1 3 1
Cartesian
0.000 0.000 0.000
0.000 0.000 2.360
0.000 2.360 0.000
2.360 0.000 0.000
2.360 2.360 2.360

***

PBE HfNi3I, optimized geometry; uncorrected formation energy = 1.01 eV/atom; relative energy among the computed polymorphs = 0 meV/atom; final energy = -23.80 eV/cell
1.0
4.565 0.000 0.000
0.000 4.565 0.000
0.000 0.000 4.565
Hf Ni I
1 3 1
Cartesian
0.000 0.000 0.000
0.000 2.282 2.282
2.282 0.000 2.282
2.282 2.282 0.000
2.282 2.282 2.282

***

PBE HfNiI3, optimized geometry; uncorrected formation energy = 0.53 eV/atom; relative energy among the computed polymorphs = 86 meV/atom; final energy = -17.71 eV/cell
1.0
5.128 0.000 0.000
0.000 5.128 0.000
0.000 0.000 5.128
Hf Ni I
1 1 3
Cartesian
0.000 0.000 0.000
2.564 2.564 2.564
0.000 2.564 2.564
2.564 0.000 2.564
2.564 2.564 0.000

***

PBE HfNiI3, optimized geometry; uncorrected formation energy = 0.45 eV/atom; relative energy among the computed polymorphs = 0 meV/atom; final energy = -18.14 eV/cell
1.0
5.668 0.000 0.000
0.000 5.668 0.000
0.000 0.000 5.668
Hf Ni I
1 1 3
Cartesian
0.000 0.000 0.000
2.834 2.834 2.834
0.000 0.000 2.834
0.000 2.834 0.000
2.834 0.000 0.000

***

PBE Hf3NiI, optimized geometry; uncorrected formation energy = 0.33 eV/atom; relative energy among the computed polymorphs = 0 meV/atom; final energy = -35.53 eV/cell
1.0
4.890 0.000 0.000
0.000 4.890 0.000
0.000 0.000 4.890
Hf Ni I
3 1 1
Cartesian
0.000 0.000 2.445
0.000 2.445 0.000
2.445 0.000 0.000
0.000 0.000 0.000
2.445 2.445 2.445